A plane-wave DFT calculation with SCAN was carried out for a crystal of Te2As relaxed with PBEsol.

Density of states at the Fermi level = 0.55 states/eV/atom
Spin magnetization = 0.0 μB/cell
Formation energy (no corrections) = 0.054 eV/atom
E above lowest polymorph = 0.000 eV/atom
Space-group type = P-3m1 (164)

Unit cell a=4.1508 b=4.1508 c=5.4376 alpha=90.00 beta=90.00 gamma=120.00
Closest atoms and distances in Å follow each position.
Element x y z (fractional)
Te (0.3333, 0.6667, 0.3036)  3 As 2.91, 3 Te 3.21
Te (0.6667, 0.3333, 0.6964)  3 As 2.91, 3 Te 3.21
As (0.0000, 0.0000, 0.0000)  6 Te 2.91